Here is a crystal of ZrTcNi2 relaxed with PBEsol from the Alexandria database. Energies are from SCAN.

POSCAR file:
```
ZrTcNi2
1.0
2.714 0.000 0.000
-1.357 4.764 -0.355
0.000 -1.481 4.324
Tc Ni Zr
1 2 1
Cartesian
1.357 -0.718 2.511 Tc
1.357 4.535 -0.153 Ni
0.000 1.463 2.802 Ni
1.357 2.026 0.615 Zr
```

Values from the calculation:
The calculated volume comes out at 54.5 Å³/cell. Its energy of formation from the pure elements is -0.05 eV/atom. The calculation puts the total magnetic moment at 0.000 μB per formula unit. As for the total DFT energy (no corrections): -24.57 eV/atom.